Entry 1:
A plane-wave DFT calculation with PBE-GGA was carried out for a relaxed ReAs2HBr crystal.

Structure (extended XYZ):
```
5
Lattice="4.7396 0.0000 0.0000 0.0000 4.7396 0.0000 0.0000 0.0000 5.5741" Properties=species:S:1:pos:R:3 pbc="T T T"
Re 0.0000 0.0000 0.0000
As 0.0000 2.3698 0.0000
As 2.3698 0.0000 0.0000
H 2.3698 2.3698 2.7871
Br 0.0000 0.0000 2.7871
```

Results
As for the space-group type: P4/mmm (123). Its raw total energy is -22.5 eV/cell. Its polymorph energy (0 for the lowest one) is 0 meV/atom.

Entry 2:
A plane-wave DFT calculation with PBE-GGA was carried out for a relaxed PmAs2P crystal.

Structure (extended XYZ):
```
4
Lattice="4.1101 0.0000 0.0000 0.0000 4.1101 0.0000 0.0000 0.0000 4.9399" Properties=species:S:1:pos:R:3 pbc="T T T"
Pm 0.0000 0.0000 0.0000
As 0.0000 2.0550 2.4699
As 2.0550 0.0000 2.4699
P 2.0550 2.0550 0.0000
```

Results
The formation energy is -0.471 eV/atom. As for the space-group type: P4/mmm (123). Its raw total energy is -21.3 eV/cell. Its polymorph energy (0 for the lowest one) is 0 meV/atom.

Entry 3:
A plane-wave DFT calculation with PBE-GGA was carried out for a relaxed HfTiB4 crystal.

Structure (extended XYZ):
```
6
Lattice="-1.6067 1.6067 5.3884 1.6067 -1.6067 5.3884 1.6067 1.6067 -5.3884" Properties=species:S:1:pos:R:3 pbc="T T T"
Hf 0.0000 0.0000 0.0000
Ti 1.6067 0.0000 2.6942
B 0.0000 0.0000 4.4632
B 0.0000 0.0000 6.3137
B 0.0000 1.6067 1.8313
B 0.0000 1.6067 3.5571
```

Results
The formation energy is -0.983 eV/atom. As for the space-group type: I-4m2 (119). Its raw total energy is -50.5 eV/cell.